A plane-wave DFT calculation with PBE was carried out for a geometry-optimized CaSiRu2 structure.

Unit cell a=3.240 b=4.358 c=4.358 alpha=90.00 beta=90.00 gamma=90.00
Sites, in units of the cell vectors:
Ru: 0.000 0.000 0.000
Si: 0.500 0.500 0.000
Ru: 0.000 0.500 0.500
Ca: 0.500 0.000 0.500

Properties
Crystal system: tetragonal
Electronic total energy in eV/cell: -25.76



A plane-wave DFT calculation with PBE was carried out for a geometry-optimized Ca2SiRu structure.

Unit cell a=4.255 b=3.173 c=6.872 alpha=62.26 beta=90.00 gamma=90.00
Each line ends with the local moment (μB).
Sites, in units of the cell vectors:
Ca: 0.000 0.996 0.002  -0.01
Ru: 0.500 0.250 0.250  0.48
Si: 0.500 0.750 0.750  0.00
Ca: 0.000 0.504 0.498  -0.01

Properties
Crystal system: monoclinic
Electronic total energy in eV/cell: -18.22



A plane-wave DFT calculation with PBE was carried out for a geometry-optimized Ca4SiRu structure.

Unit cell a=5.971 b=5.971 c=5.971 alpha=60.00 beta=60.00 gamma=60.00
Sites, in units of the cell vectors:
Ca: 0.376 0.873 0.376
Ca: 0.873 0.376 0.376
Si: 0.000 0.000 0.000
Ru: 0.750 0.750 0.750
Ca: 0.376 0.376 0.873
Ca: 0.376 0.376 0.376

Properties
Crystal system: cubic
Electronic total energy in eV/cell: -17.48



A plane-wave DFT calculation with PBE was carried out for a geometry-optimized CaSiRu2 structure.

Unit cell a=3.660 b=3.047 c=6.371 alpha=74.02 beta=90.00 gamma=90.00
Sites, in units of the cell vectors:
Si: 0.500 0.250 0.250
Ca: 0.500 0.750 0.750
Ru: 0.000 0.076 0.058
Ru: 0.000 0.424 0.442

Properties
Crystal system: monoclinic
Electronic total energy in eV/cell: -26.30